# Tm6MoO12

An optimized crystal structure of Tm6MoO12 (PBE with a Hubbard U, the Alexandria database).

a = 6.3875 Å, b = 6.3875 Å, c = 6.3875 Å
α = 98.71°, β = 98.71°, γ = 98.71°
Closest atoms and distances in Å follow each position.
Fractional positions:
Tm1 0.6817 0.8559 0.3886  6 O 2.17-2.36
Tm2 0.6114 0.3183 0.1441  6 O 2.17-2.36
Tm3 0.1441 0.6114 0.3183  6 O 2.17-2.36
Tm4 0.3183 0.1441 0.6114  6 O 2.17-2.36
Tm5 0.3886 0.6817 0.8559  6 O 2.17-2.36
Tm6 0.8559 0.3886 0.6817  6 O 2.17-2.36
Mo1 0.0000 0.0000 0.0000  6 O 1.96
O1 0.8226 0.5702 0.4103  4 Tm 2.17-2.26
O2 0.4103 0.8226 0.5702  4 Tm 2.17-2.26
O3 0.5702 0.4103 0.8226  4 Tm 2.17-2.26
O4 0.1774 0.4298 0.5897  4 Tm 2.17-2.26
O5 0.5897 0.1774 0.4298  4 Tm 2.17-2.26
O6 0.4298 0.5897 0.1774  4 Tm 2.17-2.26
O7 0.0802 0.9638 0.2997  1 Mo 1.96
O8 0.0362 0.7003 0.9198  1 Mo 1.96
O9 0.7003 0.9198 0.0362  1 Mo 1.96
O10 0.9198 0.0362 0.7003  1 Mo 1.96
O11 0.9638 0.2997 0.0802  1 Mo 1.96
O12 0.2997 0.0802 0.9638  1 Mo 1.96

Results
The density of states at the Fermi level is 0.00 states/eV/f.u. The crystal system is trigonal. The value obtained for the total energy is -155.695 eV per cell. As for the symmetry: R-3 (148).